In2NiTe: relaxed, GGA-PBE.

Structure (extended XYZ):
```
8
Lattice="-1.780 -0.189 -5.055 4.953 -1.154 -1.701 0.069 -8.400 -2.555" Properties=species:S:1:pos:R:3 pbc="T T T"
Te 0.000 0.000 0.000
Te -0.062 -4.630 -5.494
In -0.301 -2.344 -3.514
In 2.715 -2.863 -2.831
In 2.342 -7.361 -7.660
In 1.729 -6.917 -4.617
Ni 1.587 -0.671 -3.378
Ni 3.304 -5.112 -3.817
```

Output
* ρ: 6.07 g/cm³
* formation energy (no corrections): 0.49 eV/f.u.
* volume: 228 Å³/cell
* VASP energy: -3.478 eV per atom